Below is crystalline La2CoBiN at its relaxed geometry, with properties calculated at the PBE level.

Cell lengths 5.5482, 5.5482, 3.6470 Å; angles 90.00, 90.00, 90.00 degrees
With the nearest neighbours (Å) after each atom.
Element x y z (fractional)
La (0.0000, 0.5000, 0.0000)  2 N 2.77
La (0.5000, 0.0000, 0.0000)  2 N 2.77
Co (0.0000, 0.0000, 0.5000)  2 N 1.82
Bi (0.5000, 0.5000, 0.5000)  8 La 3.32, 2 Bi 3.65
N (0.0000, 0.0000, 0.0000)  2 Co 1.82

Results
Space group ... P4/mmm, No. 123
Volume ... 112.3 Å³/cell
Uncorrected energy ... -6.5738 eV/atom
Formation energy without anion corrections ... -0.740 eV per atom